This record from Alexandria via LeMat-Bulk describes an optimized crystal structure of Li2VCdF6. The functional is GGA+U.

Lattice parameters (Å, degrees): 5.786 5.786 5.786 55.38 55.38 55.38
Positions (direct):
Li (0.000, 0.000, 0.000)
Li (0.488, 0.488, 0.488)
V (0.788, 0.788, 0.788)
Cd (0.279, 0.279, 0.279)
F (0.073, 0.709, 0.374)
F (0.197, 0.595, 0.849)
F (0.374, 0.073, 0.709)
F (0.595, 0.849, 0.197)
F (0.709, 0.374, 0.073)
F (0.849, 0.197, 0.595)

Output
Total moment, μB per cell: 3.000
Electronic total energy, eV/atom: -4.957